DFT (GGA+U) results for RbBaCrO4 after structural relaxation.

POSCAR file:
```
RbBaCrO4
1.0
-3.810 -3.354 -3.881
-1.509 -3.542 4.543
-4.914 5.640 2.766
O Ba Rb Cr
8 2 2 2
direct
0.931 0.483 0.716
0.368 0.750 0.523
0.632 0.250 0.477
0.069 0.983 0.284
0.069 0.517 0.284
0.931 0.017 0.716
0.590 0.250 0.827
0.410 0.750 0.173
0.230 0.250 0.554
0.770 0.750 0.446
0.268 0.250 0.053
0.732 0.750 0.947
0.236 0.750 0.310
0.764 0.250 0.690
```

magnetization	0.143	μB per atom
SG	P2_1/m
calculated total energy	-6.29	eV/atom